# 1
BC | GGA-PBE | relaxed

a b c (Å): 4.6424 4.6424 5.0237
angles (deg): 102.39 102.39 50.64
Sites, in units of the cell vectors:
1 B 0.1499 0.1499 0.2935
2 B 0.1627 0.1855 0.8936
3 B 0.1890 0.4703 0.4934
4 B 0.5297 0.8110 0.5066
5 B 0.8145 0.8373 0.1064
6 B 0.8501 0.8501 0.7065
7 C 0.1599 0.5276 0.9072
8 C 0.4724 0.8401 0.0928
9 C 0.5295 0.4705 0.0000
10 C 0.5535 0.4465 0.5000
11 C 0.7619 0.2167 0.2409
12 C 0.7833 0.2381 0.7591

Symmetry: No. 5
DFT formation energy (meV/atom): 390
Distance to the lowest polymorph of the same formula (eV/atom): 0.239

# 2
BC11 | GGA-PBE | relaxed

a b c (Å): 4.4380 2.5249 6.2751
angles (deg): 90.00 90.39 90.00
Sites, in units of the cell vectors:
1 B 0.0000 0.0000 0.0000
2 C 0.0073 0.0000 0.2528
3 C 0.1799 0.5000 0.6584
4 C 0.1924 0.5000 0.8997
5 C 0.3426 0.0000 0.3269
6 C 0.3463 0.0000 0.5733
7 C 0.5070 0.5000 0.9918
8 C 0.5079 0.5000 0.2436
9 C 0.6693 0.0000 0.9077
10 C 0.6753 0.0000 0.6617
11 C 0.8415 0.5000 0.3320
12 C 0.8414 0.5000 0.5802

Symmetry: No. 6
DFT formation energy (meV/atom): 198
Distance to the lowest polymorph of the same formula (eV/atom): 0.016

# 3
B7C5 | GGA-PBE | relaxed

a b c (Å): 4.9670 2.5602 6.5061
angles (deg): 90.00 108.41 90.00
Sites, in units of the cell vectors:
1 B 0.0000 0.0000 0.0000
2 B 0.0041 0.0000 0.2824
3 B 0.1525 0.5000 0.8503
4 B 0.1728 0.5000 0.5642
5 B 0.3453 0.0000 0.2517
6 B 0.6286 0.0000 0.6578
7 B 0.8472 0.5000 0.5974
8 C 0.3083 0.0000 0.4977
9 C 0.5035 0.5000 0.9604
10 C 0.5230 0.5000 0.2027
11 C 0.6495 0.0000 0.9074
12 C 0.8317 0.5000 0.3377

Symmetry: No. 6
DFT formation energy (meV/atom): 335
Distance to the lowest polymorph of the same formula (eV/atom): 0.170

# 4
BC | GGA-PBE | relaxed

a b c (Å): 7.1722 7.1722 4.6517
angles (deg): 108.07 108.07 21.30
Sites, in units of the cell vectors:
1 B 0.0000 0.0000 0.0000
2 B 0.3091 0.3091 0.6070
3 B 0.5011 0.5011 0.4177
4 B 0.6348 0.6348 0.5987
5 B 0.7859 0.7859 0.0903
6 B 0.9407 0.9407 0.5633
7 C 0.1243 0.1243 0.0854
8 C 0.1363 0.1363 0.4194
9 C 0.3338 0.3338 0.9591
10 C 0.4452 0.4452 0.0595
11 C 0.6584 0.6584 0.9623
12 C 0.8260 0.8260 0.4567

Symmetry: No. 8
DFT formation energy (meV/atom): 395
Distance to the lowest polymorph of the same formula (eV/atom): 0.244

# 5
B7C5 | GGA-PBE | relaxed

a b c (Å): 4.2400 4.5577 4.5605
angles (deg): 78.31 79.46 72.09
Sites, in units of the cell vectors:
1 B 0.0000 0.0000 0.0000
2 B 0.0125 0.5676 0.1183
3 B 0.3229 0.3806 0.6108
4 B 0.3710 0.9572 0.4562
5 B 0.6593 0.3721 0.1020
6 B 0.6724 0.7707 0.9527
7 B 0.7446 0.1375 0.4463
8 C 0.0227 0.1645 0.6331
9 C 0.3463 0.9937 0.1057
10 C 0.3504 0.3442 0.9660
11 C 0.7004 0.7800 0.5993
12 C 0.9852 0.5383 0.4768

Symmetry: No. 1
DFT formation energy (meV/atom): 392
Distance to the lowest polymorph of the same formula (eV/atom): 0.228

# 6
B7C5 | GGA-PBE | relaxed

a b c (Å): 2.6265 2.6265 14.6845
angles (deg): 90.00 90.00 120.00
Sites, in units of the cell vectors:
1 B 0.0000 0.0000 0.0000
2 B 0.0000 0.0000 0.1141
3 B 0.3333 0.6667 0.1836
4 B 0.3333 0.6667 0.3034
5 B 0.3333 0.6667 0.7759
6 B 0.6667 0.3333 0.5010
7 B 0.6667 0.3333 0.9280
8 C 0.0000 0.0000 0.5186
9 C 0.0000 0.0000 0.6311
10 C 0.3333 0.6667 0.6655
11 C 0.6667 0.3333 0.3057
12 C 0.6667 0.3333 0.8231

Symmetry: No. 156
DFT formation energy (meV/atom): 493
Distance to the lowest polymorph of the same formula (eV/atom): 0.329